Compound: ScTaRh2
Source: Alexandria
Functional: GGA-PBEsol
Structure: relaxed

Unit cell a=2.957 b=4.639 c=4.639 alpha=96.24 beta=90.00 gamma=90.00
Atoms (fractional coordinates):
Sc  0.500  0.500  0.500
Ta  0.500  0.000  0.000
Rh  0.000  0.000  0.500
Rh  0.000  0.500  0.000

Summary:
Its total DFT energy (no corrections) is -9.5011 eV per atom. The formation energy comes out at -14.83 kcal/mol of atoms. As for the space group: Cmmm, No. 65.

Compound: ScTaRh
Source: Alexandria
Functional: GGA-PBEsol
Structure: relaxed

Unit cell a=4.324 b=4.324 c=4.324 alpha=60.00 beta=60.00 gamma=60.00
Atoms (fractional coordinates):
Sc  0.500  0.500  0.500
Rh  0.000  0.000  0.000
Ta  0.750  0.750  0.750

Summary:
The calculation puts the energy above the most stable polymorph in this dataset at 505 meV/atom. Its total DFT energy (no corrections) is -8.7615 eV per atom. The formation energy comes out at 7.77 kcal/mol of atoms. As for the space group: F-43m, No. 216.

Compound: ScTaRh2
Source: Alexandria
Functional: GGA-PBEsol
Structure: relaxed

Unit cell a=4.443 b=4.443 c=4.443 alpha=60.00 beta=60.00 gamma=60.00
Atoms (fractional coordinates):
Sc  0.500  0.500  0.500
Rh  0.000  0.000  0.000
Rh  0.250  0.250  0.250
Ta  0.750  0.750  0.750

Summary:
Its total DFT energy (no corrections) is -9.1039 eV per atom. The formation energy comes out at -5.66 kcal/mol of atoms. As for the space group: F-43m, No. 216.